Entry 1:
4
Lattice="0.000 2.972 2.972 2.972 0.000 2.972 2.972 2.972 0.000" Properties=species:S:1:pos:R:3 comment="MgGaCo2 PBE optimized geometry" dft_energy_ev_per_atom=-4.669 magmom_total_mub_per_fu=2.66 pbc="T T T"
Mg 0.000 0.000 0.000
Ga 4.458 4.458 4.458
Co 1.486 1.486 1.486
Co 2.972 2.972 2.972


Entry 2:
24
Lattice="4.536 -4.711 0.000 4.536 4.711 0.000 -0.565 0.000 9.372" Properties=species:S:1:pos:R:3 comment="Mg3Ga7Co2 PBE optimized geometry" dft_energy_ev_per_atom=-3.584 magmom_total_mub_per_fu=0.01 pbc="T T T"
Mg 4.112 3.315 7.029
Mg 2.397 0.497 6.536
Mg 2.680 -0.497 1.850
Mg 5.827 0.497 7.522
Mg 6.110 -0.497 2.836
Mg 4.395 -3.315 2.343
Ga 0.561 0.640 9.131
Ga 2.288 1.582 3.727
Ga 0.844 -0.640 4.445
Ga 4.395 2.556 2.343
Ga 3.397 1.213 9.200
Ga 4.828 1.213 4.859
Ga 2.005 -1.582 8.413
Ga 6.502 1.582 0.959
Ga 3.679 -1.213 4.514
Ga 5.110 -1.213 0.172
Ga 4.112 -2.556 7.029
Ga 7.663 0.640 4.928
Ga 6.219 -1.582 5.646
Ga 7.946 -0.640 0.242
Co 2.253 2.133 1.362
Co 1.970 -2.133 6.048
Co 6.537 2.133 3.325
Co 6.254 -2.133 8.011


Entry 3:
16
Lattice="5.151 0.000 0.000 0.000 7.239 0.000 -4.652 0.000 6.545" Properties=species:S:1:pos:R:3 comment="MgGa2Co PBE optimized geometry" dft_energy_ev_per_atom=-3.963 magmom_total_mub_per_fu=0.00 pbc="T T T"
Mg -0.448 0.318 1.954
Mg -2.774 3.301 5.226
Mg 3.274 3.938 1.319
Mg 0.948 6.920 4.591
Ga 0.753 5.237 0.518
Ga -1.573 5.621 3.791
Ga 1.820 1.017 0.219
Ga -0.505 2.602 3.492
Ga 1.005 4.636 3.053
Ga -1.321 6.222 6.326
Ga 2.072 1.618 2.754
Ga -0.254 2.002 6.027
Co -1.734 0.747 4.535
Co 0.592 2.872 1.262
Co -0.092 4.367 5.282
Co 2.234 6.491 2.010